# 1
## Mg4Tl5 (PBE-GGA)

Data for a relaxed structure of Mg4Tl5.

a = 9.230 Å, b = 9.230 Å, c = 6.343 Å
α = 90.00°, β = 90.00°, γ = 120.00°
Element x y z (fractional)
Mg: 0.631 0.000 0.750
Mg: 0.000 0.631 0.750
Mg: 0.000 0.369 0.250
Mg: 0.631 0.631 0.250
Mg: 0.000 0.000 0.000
Mg: 0.000 0.000 0.500
Mg: 0.369 0.000 0.250
Mg: 0.369 0.369 0.750
Tl: 0.293 0.293 0.250
Tl: 0.707 0.707 0.750
Tl: 0.667 0.333 0.500
Tl: 0.000 0.293 0.750
Tl: 0.667 0.333 0.000
Tl: 0.293 0.000 0.750
Tl: 0.333 0.667 0.500
Tl: 0.707 0.000 0.250
Tl: 0.333 0.667 0.000
Tl: 0.000 0.707 0.250

The value obtained for the energy relative to the lowest polymorph listed for this composition is 0 meV/atom. The magnetic moment is 0.000 μB per cell. As for the symmetry: P6_3/mcm. The value obtained for the total energy is -2.020 eV/atom.

# 2
## EuCu2Ir (PBE-GGA)

Data for a relaxed structure of EuCu2Ir.

a = 4.283 Å, b = 4.283 Å, c = 5.470 Å
α = 66.95°, β = 66.95°, γ = 60.00°
Each line ends with the local moment (μB).
Element x y z (fractional)
Cu: 0.804 0.804 0.589  0.00
Cu: 0.196 0.196 0.411  0.00
Ir: 0.500 0.500 0.500  0.07
Eu: 0.000 0.000 0.000  -6.76

The magnetic moment is 6.947 μB per cell. As for the symmetry: R-3m. The value obtained for the total energy is -6.942 eV/atom.

no.,ΔE_f (eV/f.u.)
1,0.03
2,-0.44